Below is an optimized crystal structure of PmGd2Hg, with properties calculated at the GGA-PBE level.

The energy above the lowest structure with this stoichiometry comes out at 1.237 kcal/mol of atoms. As for the density: 9.5 g/cm3. Its density of states at the Fermi level is 4.97 states/eV/f.u. As for the crystal system: tetragonal.

The structure belongs to space group P4/mmm (No. 123); the cell edges are 4.859, 4.859 and 4.899 Å and the angles 90.00°, 90.00° and 90.00°. The inequivalent atoms are Pm at (0.000, 0.000, 0.000), Gd at (0.000, 0.500, 0.500) and Hg at (0.500, 0.500, 0.000).

Below is an optimized crystal structure of LiCuOs2, with properties calculated at the GGA-PBE level.

The energy above the lowest structure with this stoichiometry comes out at 3.747 kcal/mol of atoms. As for the density: 13.5 g/cm3. Its density of states at the Fermi level is 3.53 states/eV/f.u. As for the crystal system: orthorhombic.

The structure belongs to space group Cmmm (No. 65); the cell edges are 2.699, 4.498 and 9.124 Å and the angles 90.00°, 90.00° and 90.00°. The inequivalent atoms are Li at (0.000, 0.000, 0.000), Cu at (0.000, 0.000, 0.500) and Os at (0.000, 0.500, 0.254).

Below is an optimized crystal structure of HfPb2F8, with properties calculated at the GGA-PBE level.

The energy above the lowest structure with this stoichiometry comes out at 0.000 kcal/mol of atoms. As for the density: 6.4 g/cm3. Its density of states at the Fermi level is 0.00 states/eV/f.u. As for the crystal system: monoclinic.

The structure belongs to space group C2/m (No. 12); the cell edges are 10.623, 7.835 and 4.889 Å and the angles 90.00°, 108.43° and 90.00°. The inequivalent atoms are Hf at (0.000, 0.000, 0.000), Pb at (0.155, 0.500, 0.339), F at (0.083, 0.500, 0.818), F at (0.117, 0.182, 0.250) and F at (0.124, 0.000, 0.769).

Below is an optimized crystal structure of DyGa4Pb, with properties calculated at the GGA-PBE level.

The value obtained for the calculated total energy is -3.625 eV/atom. As for the density: 8.5 g/cm3. Its density of states at the Fermi level is 2.81 states/eV/f.u. As for the crystal system: cubic.

The structure belongs to space group F-43m (No. 216); the cell edges are 7.969, 7.969 and 7.969 Å and the angles 90.00°, 90.00° and 90.00°. The inequivalent atoms are Dy at (0.000, 0.000, 0.000), Ga at (0.125, 0.125, 0.625) and Pb at (0.250, 0.250, 0.250).

Below is an optimized crystal structure of NaTlGa2Pt, with properties calculated at the GGA-PBE level.

The energy above the lowest structure with this stoichiometry comes out at 0.000 kcal/mol of atoms. As for the density: 7.2 g/cm3. Its density of states at the Fermi level is 1.92 states/eV/f.u. As for the crystal system: tetragonal.

The structure belongs to space group P4/mmm (No. 123); the cell edges are 4.823, 4.823 and 5.544 Å and the angles 90.00°, 90.00° and 90.00°. The inequivalent atoms are Na at (0.000, 0.000, 0.000), Tl at (0.500, 0.500, 0.000), Ga at (0.000, 0.500, 0.500) and Pt at (0.000, 0.000, 0.500).

Below is an optimized crystal structure of LaZn3Cd, with properties calculated at the GGA-PBE level.

The energy above the lowest structure with this stoichiometry comes out at 9.826 kcal/mol of atoms. As for the density: 6.1 g/cm3. Its density of states at the Fermi level is 3.36 states/eV/f.u. As for the crystal system: cubic.

The structure belongs to space group Pm-3m (No. 221); the cell edges are 4.966, 4.966 and 4.966 Å and the angles 90.00°, 90.00° and 90.00°. The inequivalent atoms are La at (0.000, 0.000, 0.000), Zn at (0.000, 0.500, 0.500) and Cd at (0.500, 0.500, 0.500).

Below is an optimized crystal structure of Ti2TcW2, with properties calculated at the GGA-PBE level.

The value obtained for the calculated total energy is -10.660 eV/atom. As for the density: 11.9 g/cm3. Its density of states at the Fermi level is 4.41 states/eV/f.u. As for the crystal system: tetragonal.

The structure belongs to space group I4/mmm (No. 139); the cell edges are 3.159, 3.159 and 15.687 Å and the angles 90.00°, 90.00° and 90.00°. The inequivalent atoms are Ti at (0.000, 0.000, 0.095), Tc at (0.000, 0.000, 0.500) and W at (0.000, 0.000, 0.297).

Below is an optimized crystal structure of ErLuMgCr, with properties calculated at the GGA-PBE level.

The value obtained for the calculated total energy is -4.939 eV/atom. As for the density: 7.3 g/cm3. Its density of states at the Fermi level is 2.56 states/eV/f.u. As for the crystal system: cubic.

The structure belongs to space group F-43m (No. 216); the cell edges are 7.233, 7.233 and 7.233 Å and the angles 90.00°, 90.00° and 90.00°. The inequivalent atoms are Er at (0.000, 0.000, 0.000), Lu at (0.000, 0.000, 0.500), Mg at (0.250, 0.250, 0.250) and Cr at (0.250, 0.250, 0.750).

Below is an optimized crystal structure of LiSc2C, with properties calculated at the GGA-PBE level.

The value obtained for the calculated total energy is -6.225 eV/atom. As for the density: 2.3 g/cm3. Its density of states at the Fermi level is 3.64 states/eV/f.u. As for the crystal system: trigonal.

The structure belongs to space group R3m (No. 160, hexagonal axes); the cell edges are 3.3104, 3.3104 and 24.6812 Å and the angles 90.00°, 90.00° and 120.00°. The inequivalent atoms are Li at (0.0000, 0.0000, 0.0000), Sc at (0.0000, 0.0000, 0.2169), Sc at (0.0000, 0.0000, 0.4508) and C at (0.0000, 0.0000, 0.8344).

Below is an optimized crystal structure of Zn2InCl, with properties calculated at the GGA-PBE level.

The energy above the lowest structure with this stoichiometry comes out at 3.973 kcal/mol of atoms. As for the density: 5.1 g/cm3. Its density of states at the Fermi level is 0.96 states/eV/f.u. As for the crystal system: tetragonal.

The structure belongs to space group I-4m2 (No. 119); the cell edges are 4.501, 4.501 and 9.077 Å and the angles 90.00°, 90.00° and 90.00°. The inequivalent atoms are Zn at (0.000, 0.000, 0.000), Zn at (0.000, 0.500, 0.250), In at (0.000, 0.000, 0.500) and Cl at (0.000, 0.500, 0.750).

Below is an optimized crystal structure of PrPaCd4, with properties calculated at the GGA-PBE level.

The value obtained for the calculated total energy is -3.012 eV/atom. As for the density: 9.1 g/cm3. Its density of states at the Fermi level is 7.74 states/eV/f.u. As for the crystal system: cubic.

The structure belongs to space group F-43m (No. 216); the cell edges are 8.422, 8.422 and 8.422 Å and the angles 90.00°, 90.00° and 90.00°. The inequivalent atoms are Pr at (0.000, 0.000, 0.000), Pa at (0.250, 0.250, 0.250) and Cd at (0.125, 0.125, 0.625).

Below is an optimized crystal structure of HoAg2HgF6, with properties calculated at the GGA-PBE level.

The value obtained for the calculated total energy is -4.363 eV/atom. As for the density: 6.8 g/cm3. Its density of states at the Fermi level is 3.43 states/eV/f.u. As for the crystal system: triclinic.

The structure belongs to space group P1 (No. 1); the cell edges are 5.711, 5.813 and 5.986 Å and the angles 110.24°, 111.95° and 93.68°. The inequivalent atoms are Ho at (0.000, 0.000, 0.000), Ag at (0.289, 0.706, 0.449), Ag at (0.665, 0.334, 0.495), Hg at (0.415, 0.503, 0.824), F at (0.266, 0.333, 0.060), F at (0.386, 0.918, 0.181), F at (0.635, 0.074, 0.775), F at (0.894, 0.674, 0.070), F at (0.958, 0.723, 0.625) and F at (0.993, 0.203, 0.374).